Tb3Pr3NdZn2: relaxed, GGA-PBE.

```
Tb3Pr3NdZn2
1.0
-0.700 -3.226 -1.583
9.031 -1.916 -0.087
-5.167 -2.438 7.253
Nd Pr Zn Tb
1 3 2 3
Cartesian
0.000 0.000 0.000 Nd
-3.894 -3.285 4.183 Pr
0.864 -2.981 1.459 Pr
5.845 -2.927 -0.851 Pr
-0.784 -3.877 4.015 Zn
3.949 -3.703 1.568 Zn
-1.953 -0.922 2.741 Tb
3.414 -0.724 -0.033 Tb
2.404 -2.708 4.457 Tb
```

Values from the calculation:
Energy of formation from the pure elements ... 13 meV/atom